Record 1
# AlPb2, PBEsol geometry, DFT meta-GGA SCAN
# - V: 320.0 Å³/cell
# - Magnetization: 0.00 μB per formula unit
# - N(E_F): 1.5 states/eV/f.u.
# - ΔE_f: 0.156 eV per atom
# - VASP energy: -52.949 eV per atom
data_AlPb2
_cell_length_a 3.458
_cell_length_b 3.458
_cell_length_c 26.754
_cell_angle_alpha 90.00
_cell_angle_beta 90.00
_cell_angle_gamma 90.00
_symmetry_space_group_name_H-M 'I 41/a m d'
_symmetry_Int_Tables_number 141
loop_
_symmetry_equiv_pos_as_xyz
'x,y,z'
'-x,-y,-z'
'-y+1/4,x+3/4,z+1/4'
'y+1/4,-x+3/4,-z+1/4'
'-x+1/2,-y,z+1/2'
'x+1/2,y,-z+1/2'
'y+1/4,-x+1/4,z+3/4'
'-y+1/4,x+1/4,-z+3/4'
'x,-y,-z'
'-x,y,z'
'-y+1/4,-x+1/4,-z+3/4'
'y+1/4,x+1/4,z+3/4'
'-x+1/2,y,-z+1/2'
'x+1/2,-y,z+1/2'
'y+1/4,x+3/4,-z+1/4'
'-y+1/4,-x+3/4,z+1/4'
'x+1/2,y+1/2,z+1/2'
'-x+1/2,-y+1/2,-z+1/2'
'-y+3/4,x+1/4,z+3/4'
'y+3/4,-x+1/4,-z+3/4'
'-x,-y+1/2,z'
'x,y+1/2,-z'
'y+3/4,-x+3/4,z+1/4'
'-y+3/4,x+3/4,-z+1/4'
'x+1/2,-y+1/2,-z+1/2'
'-x+1/2,y+1/2,z+1/2'
'-y+3/4,-x+3/4,-z+1/4'
'y+3/4,x+3/4,z+1/4'
'-x,y+1/2,-z'
'x,-y+1/2,z'
'y+3/4,x+1/4,-z+3/4'
'-y+3/4,-x+1/4,z+3/4'
loop_
_atom_site_label
_atom_site_type_symbol
_atom_site_fract_x
_atom_site_fract_y
_atom_site_fract_z
_atom_site_occupancy
Al1 Al 0.000 0.250 0.375 1
Pb1 Pb 0.000 0.250 0.805 1


Record 2
# Al3Pb2, PBEsol geometry, DFT meta-GGA SCAN
# - V: 123.8 Å³/cell
# - Magnetization: 0.00 μB per formula unit
# - N(E_F): 2.5 states/eV/f.u.
# - ΔE_f: 0.262 eV per atom
# - VASP energy: -34.701 eV per atom
data_Al3Pb2
_cell_length_a 4.2759
_cell_length_b 4.2759
_cell_length_c 7.8199
_cell_angle_alpha 90.00
_cell_angle_beta 90.00
_cell_angle_gamma 120.00
_symmetry_space_group_name_H-M 'P -3 m 1'
_symmetry_Int_Tables_number 164
_symmetry_space_group_name_Hall '-P 3 2"'
loop_
_atom_site_label
_atom_site_type_symbol
_atom_site_fract_x
_atom_site_fract_y
_atom_site_fract_z
_atom_site_occupancy
Al1 Al 0.0000 0.0000 0.0000 1
Al2 Al 0.3333 0.6667 0.4215 1
Pb1 Pb 0.3333 0.6667 0.7966 1


Record 3
# AlPb, PBEsol geometry, DFT meta-GGA SCAN
# - V: 104.6 Å³/cell
# - Magnetization: 0.00 μB per formula unit
# - N(E_F): 0.9 states/eV/f.u.
# - ΔE_f: 0.303 eV per atom
# - VASP energy: -41.464 eV per atom
data_AlPb
_cell_length_a 4.2175
_cell_length_b 4.2175
_cell_length_c 6.7893
_cell_angle_alpha 90.00
_cell_angle_beta 90.00
_cell_angle_gamma 120.00
_symmetry_space_group_name_H-M 'P 63/m m c'
_symmetry_Int_Tables_number 194
_symmetry_space_group_name_Hall '-P 6c 2c'
loop_
_atom_site_label
_atom_site_type_symbol
_atom_site_fract_x
_atom_site_fract_y
_atom_site_fract_z
_atom_site_occupancy
Al1 Al 0.3333 0.6667 0.2500 1
Pb1 Pb 0.0000 0.0000 0.0000 1


Record 4
# AlPb2, PBEsol geometry, DFT meta-GGA SCAN
# - V: 82.6 Å³/cell
# - Magnetization: 0.00 μB per formula unit
# - N(E_F): 1.6 states/eV/f.u.
# - ΔE_f: 0.185 eV per atom
# - VASP energy: -52.920 eV per atom
data_AlPb2
_cell_length_a 4.3576
_cell_length_b 4.3576
_cell_length_c 5.0240
_cell_angle_alpha 90.00
_cell_angle_beta 90.00
_cell_angle_gamma 120.00
_symmetry_space_group_name_H-M 'P -3 m 1'
_symmetry_Int_Tables_number 164
_symmetry_space_group_name_Hall '-P 3 2"'
loop_
_atom_site_label
_atom_site_type_symbol
_atom_site_fract_x
_atom_site_fract_y
_atom_site_fract_z
_atom_site_occupancy
Al1 Al 0.0000 0.0000 0.0000 1
Pb1 Pb 0.3333 0.6667 0.2839 1


Record 5
# AlPb3, PBEsol geometry, DFT meta-GGA SCAN
# - V: 214.3 Å³/cell
# - Magnetization: 0.00 μB per formula unit
# - N(E_F): 1.8 states/eV/f.u.
# - ΔE_f: 0.139 eV per atom
# - VASP energy: -58.635 eV per atom
data_AlPb3
_cell_length_a 4.750
_cell_length_b 4.928
_cell_length_c 9.156
_cell_angle_alpha 90.00
_cell_angle_beta 90.00
_cell_angle_gamma 90.00
_symmetry_space_group_name_H-M 'C m m m'
_symmetry_Int_Tables_number 65
_symmetry_space_group_name_Hall '-C 2 2'
loop_
_atom_site_label
_atom_site_type_symbol
_atom_site_fract_x
_atom_site_fract_y
_atom_site_fract_z
_atom_site_occupancy
Al1 Al 0.000 0.000 0.000 1
Pb1 Pb 0.000 0.000 0.500 1
Pb2 Pb 0.000 0.500 0.222 1


Record 6
# Al2Pb, PBEsol geometry, DFT meta-GGA SCAN
# - V: 65.7 Å³/cell
# - Magnetization: 0.00 μB per formula unit
# - N(E_F): 1.2 states/eV/f.u.
# - ΔE_f: 0.272 eV per atom
# - VASP energy: -30.156 eV per atom
data_Al2Pb
_cell_length_a 3.2058
_cell_length_b 3.2058
_cell_length_c 7.3830
_cell_angle_alpha 90.00
_cell_angle_beta 90.00
_cell_angle_gamma 120.00
_symmetry_space_group_name_H-M 'P -3 m 1'
_symmetry_Int_Tables_number 164
_symmetry_space_group_name_Hall '-P 3 2"'
loop_
_atom_site_label
_atom_site_type_symbol
_atom_site_fract_x
_atom_site_fract_y
_atom_site_fract_z
_atom_site_occupancy
Al1 Al 0.3333 0.6667 0.3586 1
Pb1 Pb 0.0000 0.0000 0.0000 1


Record 7
# AlPb3, PBEsol geometry, DFT meta-GGA SCAN
# - V: 324.1 Å³/cell
# - Magnetization: 0.00 μB per formula unit
# - N(E_F): 2.0 states/eV/f.u.
# - ΔE_f: 0.144 eV per atom
# - VASP energy: -58.630 eV per atom
data_AlPb3
_cell_length_a 3.4061
_cell_length_b 3.4061
_cell_length_c 32.2567
_cell_angle_alpha 90.00
_cell_angle_beta 90.00
_cell_angle_gamma 120.00
_symmetry_space_group_name_H-M 'R -3 m'
_symmetry_Int_Tables_number 166
_symmetry_space_group_name_Hall '-R 3 2"'
loop_
_atom_site_label
_atom_site_type_symbol
_atom_site_fract_x
_atom_site_fract_y
_atom_site_fract_z
_atom_site_occupancy
Al1 Al 0.0000 0.0000 0.0000 1
Pb1 Pb 0.0000 0.0000 0.2583 1
Pb2 Pb 0.0000 0.0000 0.5000 1


Record 8
# Al2Pb, PBEsol geometry, DFT meta-GGA SCAN
# - V: 129.0 Å³/cell
# - Magnetization: 0.00 μB per formula unit
# - N(E_F): 1.4 states/eV/f.u.
# - ΔE_f: 0.246 eV per atom
# - VASP energy: -30.182 eV per atom
data_Al2Pb
_cell_length_a 3.215
_cell_length_b 3.215
_cell_length_c 12.479
_cell_angle_alpha 90.00
_cell_angle_beta 90.00
_cell_angle_gamma 90.00
_symmetry_space_group_name_H-M 'I 4/m m m'
_symmetry_Int_Tables_number 139
_symmetry_space_group_name_Hall '-I 4 2'
loop_
_atom_site_label
_atom_site_type_symbol
_atom_site_fract_x
_atom_site_fract_y
_atom_site_fract_z
_atom_site_occupancy
Al1 Al 0.000 0.000 0.185 1
Pb1 Pb 0.000 0.000 0.500 1


Record 9
# AlPb3, PBEsol geometry, DFT meta-GGA SCAN
# - V: 214.6 Å³/cell
# - Magnetization: 0.00 μB per formula unit
# - N(E_F): 2.0 states/eV/f.u.
# - ΔE_f: 0.163 eV per atom
# - VASP energy: -58.611 eV per atom
data_AlPb3
_cell_length_a 3.501
_cell_length_b 5.546
_cell_length_c 11.054
_cell_angle_alpha 90.00
_cell_angle_beta 90.00
_cell_angle_gamma 90.00
_symmetry_space_group_name_H-M 'I m m m'
_symmetry_Int_Tables_number 71
_symmetry_space_group_name_Hall '-I 2 2'
loop_
_atom_site_label
_atom_site_type_symbol
_atom_site_fract_x
_atom_site_fract_y
_atom_site_fract_z
_atom_site_occupancy
Al1 Al 0.000 0.000 0.000 1
Pb1 Pb 0.000 0.000 0.500 1
Pb2 Pb 0.000 0.500 0.276 1


Record 10
# Zr2AlPtPb, PBEsol geometry, DFT meta-GGA SCAN
# - V: 130.4 Å³/cell
# - Magnetization: 0.00 μB per formula unit
# - N(E_F): 2.5 states/eV/f.u.
# - ΔE_f: 0.238 eV per atom
# - VASP energy: -42.786 eV per atom
data_Zr2AlPtPb
_cell_length_a 5.095
_cell_length_b 5.095
_cell_length_c 5.026
_cell_angle_alpha 90.00
_cell_angle_beta 90.00
_cell_angle_gamma 90.00
_symmetry_space_group_name_H-M 'P 4/m m m'
_symmetry_Int_Tables_number 123
_symmetry_space_group_name_Hall '-P 4 2'
loop_
_atom_site_label
_atom_site_type_symbol
_atom_site_fract_x
_atom_site_fract_y
_atom_site_fract_z
_atom_site_occupancy
Zr1 Zr 0.000 0.500 0.000 1
Al1 Al 0.000 0.000 0.500 1
Pt1 Pt 0.500 0.500 0.000 1
Pb1 Pb 0.500 0.500 0.500 1


Record 11
# Rb2AlTcPb, PBEsol geometry, DFT meta-GGA SCAN
# - V: 204.1 Å³/cell
# - Magnetization: 2.83 μB per formula unit
# - N(E_F): 3.7 states/eV/f.u.
# - ΔE_f: 1.059 eV per atom
# - VASP energy: -30.955 eV per atom
data_Rb2AlTcPb
_cell_length_a 6.234
_cell_length_b 6.234
_cell_length_c 5.253
_cell_angle_alpha 90.00
_cell_angle_beta 90.00
_cell_angle_gamma 90.00
_symmetry_space_group_name_H-M 'P 4/m m m'
_symmetry_Int_Tables_number 123
_symmetry_space_group_name_Hall '-P 4 2'
loop_
_atom_site_label
_atom_site_type_symbol
_atom_site_fract_x
_atom_site_fract_y
_atom_site_fract_z
_atom_site_occupancy
Rb1 Rb 0.000 0.500 0.000 1
Al1 Al 0.000 0.000 0.500 1
Tc1 Tc 0.500 0.500 0.000 1
Pb1 Pb 0.500 0.500 0.500 1


Record 12
# Al2RePb, PBEsol geometry, DFT meta-GGA SCAN
# - V: 136.0 Å³/cell
# - Magnetization: 0.00 μB per formula unit
# - N(E_F): 3.0 states/eV/f.u.
# - ΔE_f: 0.489 eV per atom
# - VASP energy: -40.107 eV per atom
data_Al2RePb
_cell_length_a 4.100
_cell_length_b 4.100
_cell_length_c 8.087
_cell_angle_alpha 90.00
_cell_angle_beta 90.00
_cell_angle_gamma 90.00
_symmetry_space_group_name_H-M 'I 4/m m m'
_symmetry_Int_Tables_number 139
_symmetry_space_group_name_Hall '-I 4 2'
loop_
_atom_site_label
_atom_site_type_symbol
_atom_site_fract_x
_atom_site_fract_y
_atom_site_fract_z
_atom_site_occupancy
Al1 Al 0.000 0.500 0.250 1
Re1 Re 0.000 0.000 0.000 1
Pb1 Pb 0.000 0.000 0.500 1


Record 13
# Al2RePb, PBEsol geometry, DFT meta-GGA SCAN
# - V: 142.2 Å³/cell
# - Magnetization: 0.35 μB per formula unit
# - N(E_F): 1.9 states/eV/f.u.
# - ΔE_f: 0.638 eV per atom
# - VASP energy: -39.957 eV per atom
data_Al2RePb
_cell_length_a 5.527
_cell_length_b 8.794
_cell_length_c 3.209
_cell_angle_alpha 90.00
_cell_angle_beta 114.29
_cell_angle_gamma 90.00
_symmetry_space_group_name_H-M 'C 1 2/m 1'
_symmetry_Int_Tables_number 12
loop_
_symmetry_equiv_pos_as_xyz
'x,y,z'
'-x,-y,-z'
'-x,y,-z'
'x,-y,z'
'x+1/2,y+1/2,z'
'-x+1/2,-y+1/2,-z'
'-x+1/2,y+1/2,-z'
'x+1/2,-y+1/2,z'
loop_
_atom_site_label
_atom_site_type_symbol
_atom_site_fract_x
_atom_site_fract_y
_atom_site_fract_z
_atom_site_occupancy
Al1 Al 0.250 0.250 0.000 1
Re1 Re 0.000 0.000 0.500 1
Pb1 Pb 0.000 0.500 0.500 1


Record 14
# AlRePb2, PBEsol geometry, DFT meta-GGA SCAN
# - V: 81.5 Å³/cell
# - Magnetization: 0.00 μB per formula unit
# - N(E_F): 3.1 states/eV/f.u.
# - ΔE_f: 1.006 eV per atom
# - VASP energy: -56.597 eV per atom
data_AlRePb2
_cell_length_a 3.471
_cell_length_b 4.695
_cell_length_c 5.002
_cell_angle_alpha 90.00
_cell_angle_beta 90.00
_cell_angle_gamma 90.00
_symmetry_space_group_name_H-M 'P m m m'
_symmetry_Int_Tables_number 47
loop_
_symmetry_equiv_pos_as_xyz
'x,y,z'
'-x,-y,-z'
'-x,-y,z'
'x,y,-z'
'x,-y,-z'
'-x,y,z'
'-x,y,-z'
'x,-y,z'
loop_
_atom_site_label
_atom_site_type_symbol
_atom_site_fract_x
_atom_site_fract_y
_atom_site_fract_z
_atom_site_occupancy
Al1 Al 0.000 0.000 0.000 1
Re1 Re 0.500 0.000 0.500 1
Pb1 Pb 0.000 0.500 0.500 1
Pb2 Pb 0.500 0.500 0.000 1


Record 15
# AlRePb3, PBEsol geometry, DFT meta-GGA SCAN
# - V: 146.8 Å³/cell
# - Magnetization: 1.03 μB per formula unit
# - N(E_F): 3.4 states/eV/f.u.
# - ΔE_f: 0.778 eV per atom
# - VASP energy: -60.460 eV per atom
data_AlRePb3
_cell_length_a 5.275
_cell_length_b 5.275
_cell_length_c 5.275
_cell_angle_alpha 90.00
_cell_angle_beta 90.00
_cell_angle_gamma 90.00
_symmetry_space_group_name_H-M 'P m -3 m'
_symmetry_Int_Tables_number 221
_symmetry_space_group_name_Hall '-P 4 2 3'
loop_
_atom_site_label
_atom_site_type_symbol
_atom_site_fract_x
_atom_site_fract_y
_atom_site_fract_z
_atom_site_occupancy
Al1 Al 0.000 0.000 0.000 1
Re1 Re 0.500 0.500 0.500 1
Pb1 Pb 0.000 0.500 0.500 1


Record 16
# AlRe2Pb, PBEsol geometry, DFT meta-GGA SCAN
# - V: 64.7 Å³/cell
# - Magnetization: 0.00 μB per formula unit
# - N(E_F): 2.7 states/eV/f.u.
# - ΔE_f: 0.797 eV per atom
# - VASP energy: -55.635 eV per atom
data_AlRe2Pb
_cell_length_a 4.459
_cell_length_b 4.459
_cell_length_c 3.253
_cell_angle_alpha 90.00
_cell_angle_beta 90.00
_cell_angle_gamma 90.00
_symmetry_space_group_name_H-M 'P 4/m m m'
_symmetry_Int_Tables_number 123
_symmetry_space_group_name_Hall '-P 4 2'
loop_
_atom_site_label
_atom_site_type_symbol
_atom_site_fract_x
_atom_site_fract_y
_atom_site_fract_z
_atom_site_occupancy
Al1 Al 0.000 0.000 0.000 1
Re1 Re 0.000 0.500 0.500 1
Pb1 Pb 0.500 0.500 0.000 1


Record 17
# AlRePb2, PBEsol geometry, DFT meta-GGA SCAN
# - V: 174.8 Å³/cell
# - Magnetization: 0.00 μB per formula unit
# - N(E_F): 2.3 states/eV/f.u.
# - ΔE_f: 0.545 eV per atom
# - VASP energy: -57.058 eV per atom
data_AlRePb2
_cell_length_a 3.483
_cell_length_b 5.070
_cell_length_c 9.902
_cell_angle_alpha 90.00
_cell_angle_beta 90.00
_cell_angle_gamma 90.00
_symmetry_space_group_name_H-M 'C m m 2'
_symmetry_Int_Tables_number 35
loop_
_symmetry_equiv_pos_as_xyz
'x,y,z'
'-x,-y,z'
'-x,y,z'
'x,-y,z'
'x+1/2,y+1/2,z'
'-x+1/2,-y+1/2,z'
'-x+1/2,y+1/2,z'
'x+1/2,-y+1/2,z'
loop_
_atom_site_label
_atom_site_type_symbol
_atom_site_fract_x
_atom_site_fract_y
_atom_site_fract_z
_atom_site_occupancy
Al1 Al 0.000 0.000 0.000 1
Re1 Re 0.000 0.500 0.181 1
Pb1 Pb 0.000 0.000 0.408 1
Pb2 Pb 0.000 0.500 0.749 1


Record 18
# Al4RePb, PBEsol geometry, DFT meta-GGA SCAN
# - V: 399.0 Å³/cell
# - Magnetization: 0.00 μB per formula unit
# - N(E_F): 2.9 states/eV/f.u.
# - ΔE_f: 0.400 eV per atom
# - VASP energy: -29.248 eV per atom
data_Al4RePb
_cell_length_a 7.362
_cell_length_b 7.362
_cell_length_c 7.362
_cell_angle_alpha 90.00
_cell_angle_beta 90.00
_cell_angle_gamma 90.00
_symmetry_space_group_name_H-M 'F -4 3 m'
_symmetry_Int_Tables_number 216
_symmetry_space_group_name_Hall 'F -4 2 3'
loop_
_atom_site_label
_atom_site_type_symbol
_atom_site_fract_x
_atom_site_fract_y
_atom_site_fract_z
_atom_site_occupancy
Al1 Al 0.123 0.123 0.377 1
Re1 Re 0.250 0.250 0.750 1
Pb1 Pb 0.000 0.000 0.000 1


Record 19
# AlRePb2, PBEsol geometry, DFT meta-GGA SCAN
# - V: 162.8 Å³/cell
# - Magnetization: 0.00 μB per formula unit
# - N(E_F): 2.9 states/eV/f.u.
# - ΔE_f: 1.014 eV per atom
# - VASP energy: -56.589 eV per atom
data_AlRePb2
_cell_length_a 4.381
_cell_length_b 4.381
_cell_length_c 8.486
_cell_angle_alpha 90.00
_cell_angle_beta 90.00
_cell_angle_gamma 90.00
_symmetry_space_group_name_H-M 'I -4 m 2'
_symmetry_Int_Tables_number 119
_symmetry_space_group_name_Hall 'I -4 -2'
loop_
_atom_site_label
_atom_site_type_symbol
_atom_site_fract_x
_atom_site_fract_y
_atom_site_fract_z
_atom_site_occupancy
Al1 Al 0.000 0.000 0.000 1
Re1 Re 0.000 0.500 0.750 1
Pb1 Pb 0.000 0.000 0.500 1
Pb2 Pb 0.000 0.500 0.250 1


Record 20
# Al2RePb, PBEsol geometry, DFT meta-GGA SCAN
# - V: 146.4 Å³/cell
# - Magnetization: 0.00 μB per formula unit
# - N(E_F): 2.1 states/eV/f.u.
# - ΔE_f: 0.343 eV per atom
# - VASP energy: -40.253 eV per atom
data_Al2RePb
_cell_length_a 4.262
_cell_length_b 3.394
_cell_length_c 10.116
_cell_angle_alpha 90.00
_cell_angle_beta 90.00
_cell_angle_gamma 90.00
_symmetry_space_group_name_H-M 'A m m 2'
_symmetry_Int_Tables_number 38
loop_
_symmetry_equiv_pos_as_xyz
'x,y,z'
'-x,-y,z'
'-x,y,z'
'x,-y,z'
'x,y+1/2,z+1/2'
'-x,-y+1/2,z+1/2'
'-x,y+1/2,z+1/2'
'x,-y+1/2,z+1/2'
loop_
_atom_site_label
_atom_site_type_symbol
_atom_site_fract_x
_atom_site_fract_y
_atom_site_fract_z
_atom_site_occupancy
Al1 Al 0.000 0.000 0.000 1
Al2 Al 0.500 0.000 0.423 1
Re1 Re 0.000 0.000 0.294 1
Pb1 Pb 0.500 0.000 0.688 1